Density functional theory data (PBE) for a relaxed TlCdNiHg2 crystal.

Output
E_form: 0.5 eV per formula unit
final energy: -1.826 eV/atom

Cell and atoms, written as extended XYZ:
```
5
Lattice="-1.728 1.644 -4.493 -4.709 -1.430 1.288 -0.844 4.580 2.001" Properties=species:S:1:pos:R:3 pbc="T T T"
Ni 0.000 0.000 0.000
Hg -2.355 -0.715 0.644
Hg -0.864 0.822 -2.247
Cd -0.422 2.290 1.000
Tl -3.641 2.397 -0.602
```